A plane-wave DFT calculation with PBE was carried out for crystalline BeRu3 at its relaxed geometry.

Summary:
E_form: -0.04 eV per atom
DOS at the Fermi energy: 0.78 states/eV per atom
E above lowest polymorph: 38.1 meV per atom

abc: 4.8788 4.8788 4.8788
angles: 146.47 128.13 63.19
Fractional positions:
Ru 0.2792 0.2792 0.0000
Ru 0.7208 0.7208 0.0000
Ru 0.0000 0.5000 0.5000
Be 0.5000 0.0000 0.5000